(1)
The following is a DFT calculation (PBE) of a relaxed Ce6PuAl2 crystal.

The calculation puts the formation enthalpy at 0 K at -0.21 eV per atom. The calculation puts the uncorrected energy at -0.484 Ry per atom.

Cell: 6.9619 6.9619 5.4573 Å, 90.23 90.23 59.90°
Closest atoms and distances in Å follow each position.
Fractional positions:
Ce (0.1560, 0.6731, 0.7471)  1 Pu 2.47
Ce (0.3266, 0.3266, 0.2553)  1 Pu 2.48
Ce (0.3269, 0.8440, 0.2529)  1 Pu 2.47
Ce (0.6731, 0.1560, 0.7471)  1 Pu 2.47
Ce (0.6734, 0.6734, 0.7447)  1 Pu 2.48
Ce (0.8440, 0.3269, 0.2529)  1 Pu 2.47
Pu (0.5000, 0.5000, 0.5000)  6 Ce 2.47-2.48
Al (0.1667, 0.1667, 0.7522)  12 Ce 3.34-3.49
Al (0.8333, 0.8333, 0.2478)  12 Ce 3.34-3.49


(2)
The following is a DFT calculation (PBE) of a relaxed Ce3PuAl crystal.

The calculation puts the formation enthalpy at 0 K at -0.07 eV per atom. The calculation puts the uncorrected energy at -0.533 Ry per atom. As for the energy relative to the lowest polymorph listed for this composition: 0 meV per atom.

Cell: 5.7217 6.6657 6.7408 Å, 76.21 89.76 89.77°
Closest atoms and distances in Å follow each position.
Fractional positions:
Ce (0.0000, 0.0000, 0.0000)  1 Pu 2.57, 1 Ce 2.84
Ce (0.0633, 0.5009, 0.4982)  1 Pu 2.57, 1 Ce 2.83
Ce (0.2014, 0.5402, 0.8902)  2 Pu 2.73-2.92, 1 Ce 2.83
Ce (0.4886, 0.7188, 0.2868)  1 Pu 2.82, 1 Ce 3.01
Ce (0.5733, 0.2209, 0.7873)  1 Pu 2.83, 1 Ce 3.03
Ce (0.8629, 0.0411, 0.3939)  2 Pu 2.72-2.91, 1 Ce 2.84
Pu (0.2373, 0.9472, 0.6923)  3 Ce 2.57-2.83
Pu (0.8260, 0.4461, 0.1932)  3 Ce 2.57-2.82
Al (0.3601, 0.2168, 0.2717)  3 Pu 3.05-3.40, 6 Ce 3.07-3.37
Al (0.7036, 0.7182, 0.7754)  3 Pu 3.05-3.40, 6 Ce 3.07-3.38


(3)
The following is a DFT calculation (PBE) of a relaxed Ce3PuAl8 crystal.

The calculation puts the formation enthalpy at 0 K at -0.45 eV per atom. The calculation puts the uncorrected energy at -0.413 Ry per atom. As for the energy relative to the lowest polymorph listed for this composition: 0 meV per atom.

Cell: 9.6678 9.6678 9.6678 Å, 33.62 33.62 33.62°
Closest atoms and distances in Å follow each position.
Fractional positions:
Ce (0.0000, 0.0000, 0.0000)  12 Al 3.23-3.30, 3 Pu 3.41, 1 Ce 3.46
Ce (0.1267, 0.1267, 0.1267)  12 Al 3.27-3.28, 4 Ce 3.45-3.46
Ce (0.5044, 0.5044, 0.5044)  12 Al 3.24-3.33, 1 Pu 3.35, 3 Ce 3.45
Pu (0.6270, 0.6270, 0.6270)  12 Al 3.27-3.28, 4 Ce 3.35-3.41
Al (0.0645, 0.5644, 0.5644)  6 Al 2.80
Al (0.0649, 0.0649, 0.5640)  6 Al 2.78-2.80
Al (0.0649, 0.5640, 0.0649)  6 Al 2.78-2.80
Al (0.3142, 0.3142, 0.3142)  6 Al 2.78-2.80
Al (0.5644, 0.0645, 0.5644)  6 Al 2.80
Al (0.5640, 0.0649, 0.0649)  6 Al 2.78-2.80
Al (0.5644, 0.5644, 0.0645)  6 Al 2.80
Al (0.8146, 0.8146, 0.8146)  6 Al 2.79-2.80